DFT (PBE) results for crystalline PmSmDyEr3 at its relaxed geometry.

formation energy from the elements: 0.1986 eV/atom

Cell and atoms, written as CIF:
```
data_PmSmDyEr3
_chemical_formula_sum 'Pm2 Sm2 Dy2 Er6'
_space_group_name_H-M_alt 'P 1'
_space_group_IT_number 1
_space_group_name_Hall 'P 1'
_cell_length_a 5.609
_cell_length_b 10.158
_cell_length_c 7.077
_cell_angle_alpha 90.20
_cell_angle_beta 90.00
_cell_angle_gamma 106.03
loop_
_atom_site_label
_atom_site_fract_x
_atom_site_fract_y
_atom_site_fract_z
Pm1 0.353 0.706 0.966
Pm2 0.647 0.294 0.034
Sm1 0.052 0.105 0.258
Sm2 0.948 0.895 0.742
Dy1 0.649 0.299 0.458
Dy2 0.351 0.701 0.542
Er1 0.834 0.668 0.260
Er2 0.780 0.559 0.752
Er3 0.476 0.953 0.257
Er4 0.220 0.441 0.248
Er5 0.524 0.047 0.743
Er6 0.166 0.332 0.740
```